The following is a DFT calculation (PBE+U) of an optimized crystal structure of FeSn2WO.

E_tot   -24.362 eV per formula unit
DOS(E_F)   3.0 states/eV/cell

Cell: 5.899 5.899 3.763 Å, 90.00 90.00 90.00°
Space group P4/mmm (No. 123)
One atom of each set of equivalent atoms:
Fe  0.000  0.000  0.000 [1 per cell]
Sn  0.000  0.500  0.500 [2 per cell]
W  0.500  0.500  0.500 [1 per cell]
O  0.500  0.500  0.000 [1 per cell]